## w
# LiAcMg3 | Alexandria via LeMat-Bulk | GGA-PBE | relaxed
# **SG**: No. 194
data_LiAcMg3
_cell_length_a 7.2034
_cell_length_b 7.2034
_cell_length_c 12.0110
_cell_angle_alpha 90.00
_cell_angle_beta 90.00
_cell_angle_gamma 120.00
_symmetry_space_group_name_H-M 'P 1'
_symmetry_Int_Tables_number 1
loop_
_symmetry_equiv_pos_as_xyz
'x,y,z'
loop_
_atom_site_label
_atom_site_fract_x
_atom_site_fract_y
_atom_site_fract_z
_atom_site_occupancy
Li1 0.3333 0.6667 0.1365 1
Li2 0.3333 0.6667 0.3635 1
Li3 0.6667 0.3333 0.6365 1
Li4 0.6667 0.3333 0.8635 1
Ac1 0.0000 0.0000 0.0000 1
Ac2 0.0000 0.0000 0.5000 1
Ac3 0.3333 0.6667 0.7500 1
Ac4 0.6667 0.3333 0.2500 1
Mg1 0.0000 0.5000 0.0000 1
Mg2 0.0000 0.5000 0.5000 1
Mg3 0.1446 0.2892 0.2500 1
Mg4 0.1446 0.8554 0.2500 1
Mg5 0.2892 0.1446 0.7500 1
Mg6 0.5000 0.0000 0.0000 1
Mg7 0.5000 0.0000 0.5000 1
Mg8 0.5000 0.5000 0.0000 1
Mg9 0.5000 0.5000 0.5000 1
Mg10 0.7108 0.8554 0.2500 1
Mg11 0.8554 0.1446 0.7500 1
Mg12 0.8554 0.7108 0.7500 1

## x
# LiAcMg3 | Alexandria via LeMat-Bulk | GGA-PBE | relaxed
# **SG**: No. 194
data_LiAcMg3
_cell_length_a 7.2140
_cell_length_b 7.2140
_cell_length_c 5.9826
_cell_angle_alpha 90.00
_cell_angle_beta 90.00
_cell_angle_gamma 120.00
_symmetry_space_group_name_H-M 'P 1'
_symmetry_Int_Tables_number 1
loop_
_symmetry_equiv_pos_as_xyz
'x,y,z'
loop_
_atom_site_label
_atom_site_fract_x
_atom_site_fract_y
_atom_site_fract_z
_atom_site_occupancy
Li1 0.0000 0.0000 0.0000 1
Li2 0.0000 0.0000 0.5000 1
Ac1 0.3333 0.6667 0.2500 1
Ac2 0.6667 0.3333 0.7500 1
Mg1 0.1864 0.3728 0.7500 1
Mg2 0.1864 0.8136 0.7500 1
Mg3 0.3728 0.1864 0.2500 1
Mg4 0.6272 0.8136 0.7500 1
Mg5 0.8136 0.1864 0.2500 1
Mg6 0.8136 0.6272 0.2500 1

## y
# LiAcMg3 | Alexandria via LeMat-Bulk | GGA-PBE | relaxed
# **SG**: No. 221
data_LiAcMg3
_cell_length_a 5.1226
_cell_length_b 5.1226
_cell_length_c 5.1226
_cell_angle_alpha 90.00
_cell_angle_beta 90.00
_cell_angle_gamma 90.00
_symmetry_space_group_name_H-M 'P 1'
_symmetry_Int_Tables_number 1
loop_
_symmetry_equiv_pos_as_xyz
'x,y,z'
loop_
_atom_site_label
_atom_site_fract_x
_atom_site_fract_y
_atom_site_fract_z
_atom_site_occupancy
Li1 0.0000 0.0000 0.0000 1
Ac1 0.5000 0.5000 0.5000 1
Mg1 0.0000 0.0000 0.5000 1
Mg2 0.0000 0.5000 0.0000 1
Mg3 0.5000 0.0000 0.0000 1

It is x that is most stable; the runner-up trails by 2.4 kJ/mol of atoms.

## w
# Li2AcMg | Alexandria via LeMat-Bulk | GGA-PBE | relaxed
# **SG**: No. 62
data_Li2AcMg
_cell_length_a 9.2713
_cell_length_b 7.4703
_cell_length_c 6.4629
_cell_angle_alpha 90.00
_cell_angle_beta 90.00
_cell_angle_gamma 90.00
_symmetry_space_group_name_H-M 'P 1'
_symmetry_Int_Tables_number 1
loop_
_symmetry_equiv_pos_as_xyz
'x,y,z'
loop_
_atom_site_label
_atom_site_fract_x
_atom_site_fract_y
_atom_site_fract_z
_atom_site_occupancy
Li1 0.1760 0.0582 0.1052 1
Li2 0.1760 0.4418 0.1052 1
Li3 0.3240 0.5582 0.6052 1
Li4 0.3240 0.9418 0.6052 1
Li5 0.6760 0.0582 0.3948 1
Li6 0.6760 0.4418 0.3948 1
Li7 0.8240 0.5582 0.8948 1
Li8 0.8240 0.9418 0.8948 1
Ac1 0.0449 0.2500 0.6363 1
Ac2 0.4551 0.7500 0.1363 1
Ac3 0.5449 0.2500 0.8637 1
Ac4 0.9551 0.7500 0.3637 1
Mg1 0.1105 0.7500 0.8506 1
Mg2 0.3895 0.2500 0.3506 1
Mg3 0.6105 0.7500 0.6494 1
Mg4 0.8895 0.2500 0.1494 1

## x
# Li2AcMg | Alexandria via LeMat-Bulk | GGA-PBE | relaxed
# **SG**: No. 160
data_Li2AcMg
_cell_length_a 3.5651
_cell_length_b 3.5651
_cell_length_c 31.9138
_cell_angle_alpha 90.00
_cell_angle_beta 90.00
_cell_angle_gamma 120.00
_symmetry_space_group_name_H-M 'P 1'
_symmetry_Int_Tables_number 1
loop_
_symmetry_equiv_pos_as_xyz
'x,y,z'
loop_
_atom_site_label
_atom_site_fract_x
_atom_site_fract_y
_atom_site_fract_z
_atom_site_occupancy
Li1 0.0000 0.0000 0.0000 1
Li2 0.0000 0.0000 0.1860 1
Li3 0.3333 0.6667 0.6667 1
Li4 0.3333 0.6667 0.8527 1
Li5 0.6667 0.3333 0.3333 1
Li6 0.6667 0.3333 0.5193 1
Ac1 0.0000 0.0000 0.4259 1
Ac2 0.3333 0.6667 0.0925 1
Ac3 0.6667 0.3333 0.7592 1
Mg1 0.0000 0.0000 0.5931 1
Mg2 0.3333 0.6667 0.2598 1
Mg3 0.6667 0.3333 0.9265 1

It is w that is most stable; the runner-up trails by 10.7 kJ/mol of atoms.

## w
# Li2AcMg | Alexandria via LeMat-Bulk | GGA-PBE | relaxed
# **SG**: No. 225
data_Li2AcMg
_cell_length_a 7.5729
_cell_length_b 7.5729
_cell_length_c 7.5729
_cell_angle_alpha 90.00
_cell_angle_beta 90.00
_cell_angle_gamma 90.00
_symmetry_space_group_name_H-M 'P 1'
_symmetry_Int_Tables_number 1
loop_
_symmetry_equiv_pos_as_xyz
'x,y,z'
loop_
_atom_site_label
_atom_site_fract_x
_atom_site_fract_y
_atom_site_fract_z
_atom_site_occupancy
Li1 0.2500 0.2500 0.2500 1
Li2 0.2500 0.2500 0.7500 1
Li3 0.2500 0.7500 0.2500 1
Li4 0.2500 0.7500 0.7500 1
Li5 0.7500 0.2500 0.2500 1
Li6 0.7500 0.2500 0.7500 1
Li7 0.7500 0.7500 0.2500 1
Li8 0.7500 0.7500 0.7500 1
Ac1 0.0000 0.0000 0.0000 1
Ac2 0.0000 0.5000 0.5000 1
Ac3 0.5000 0.0000 0.5000 1
Ac4 0.5000 0.5000 0.0000 1
Mg1 0.0000 0.0000 0.5000 1
Mg2 0.0000 0.5000 0.0000 1
Mg3 0.5000 0.0000 0.0000 1
Mg4 0.5000 0.5000 0.5000 1

## x
# Li2AcMg | Alexandria via LeMat-Bulk | GGA-PBE | relaxed
# **SG**: No. 123
data_Li2AcMg
_cell_length_a 5.4747
_cell_length_b 5.4747
_cell_length_c 3.7104
_cell_angle_alpha 90.00
_cell_angle_beta 90.00
_cell_angle_gamma 90.00
_symmetry_space_group_name_H-M 'P 1'
_symmetry_Int_Tables_number 1
loop_
_symmetry_equiv_pos_as_xyz
'x,y,z'
loop_
_atom_site_label
_atom_site_fract_x
_atom_site_fract_y
_atom_site_fract_z
_atom_site_occupancy
Li1 0.0000 0.5000 0.0000 1
Li2 0.5000 0.0000 0.0000 1
Ac1 0.0000 0.0000 0.5000 1
Mg1 0.5000 0.5000 0.5000 1

It is w that is most stable; the runner-up trails by 7.5 kJ/mol of atoms.

## w
# Li4AcMg2 | Alexandria via LeMat-Bulk | GGA-PBE | relaxed
# **SG**: No. 139
data_Li4AcMg2
_cell_length_a 7.2797
_cell_length_b 7.2797
_cell_length_c 7.0474
_cell_angle_alpha 90.00
_cell_angle_beta 90.00
_cell_angle_gamma 90.00
_symmetry_space_group_name_H-M 'P 1'
_symmetry_Int_Tables_number 1
loop_
_symmetry_equiv_pos_as_xyz
'x,y,z'
loop_
_atom_site_label
_atom_site_fract_x
_atom_site_fract_y
_atom_site_fract_z
_atom_site_occupancy
Li1 0.0000 0.2348 0.0000 1
Li2 0.0000 0.7652 0.0000 1
Li3 0.2348 0.0000 0.0000 1
Li4 0.2652 0.5000 0.5000 1
Li5 0.5000 0.2652 0.5000 1
Li6 0.5000 0.7348 0.5000 1
Li7 0.7348 0.5000 0.5000 1
Li8 0.7652 0.0000 0.0000 1
Ac1 0.0000 0.0000 0.5000 1
Ac2 0.5000 0.5000 0.0000 1
Mg1 0.0000 0.5000 0.2500 1
Mg2 0.0000 0.5000 0.7500 1
Mg3 0.5000 0.0000 0.2500 1
Mg4 0.5000 0.0000 0.7500 1

## x
# Li4AcMg2 | Alexandria via LeMat-Bulk | GGA-PBE | relaxed
# **SG**: No. 139
data_Li4AcMg2
_cell_length_a 7.4701
_cell_length_b 7.4701
_cell_length_c 6.0267
_cell_angle_alpha 90.00
_cell_angle_beta 90.00
_cell_angle_gamma 90.00
_symmetry_space_group_name_H-M 'P 1'
_symmetry_Int_Tables_number 1
loop_
_symmetry_equiv_pos_as_xyz
'x,y,z'
loop_
_atom_site_label
_atom_site_fract_x
_atom_site_fract_y
_atom_site_fract_z
_atom_site_occupancy
Li1 0.1850 0.1850 0.0000 1
Li2 0.1850 0.8150 0.0000 1
Li3 0.3150 0.3150 0.5000 1
Li4 0.3150 0.6850 0.5000 1
Li5 0.6850 0.3150 0.5000 1
Li6 0.6850 0.6850 0.5000 1
Li7 0.8150 0.1850 0.0000 1
Li8 0.8150 0.8150 0.0000 1
Ac1 0.0000 0.0000 0.5000 1
Ac2 0.5000 0.5000 0.0000 1
Mg1 0.0000 0.5000 0.2500 1
Mg2 0.0000 0.5000 0.7500 1
Mg3 0.5000 0.0000 0.2500 1
Mg4 0.5000 0.0000 0.7500 1

It is x that is most stable; the runner-up trails by 27.2 kJ/mol of atoms.